(1)
Entry from the Alexandria database: an optimized crystal structure of BaSrMnHg2 (PBE).

Output
Formation energy from the elements ... 21.28 kcal/mol of atoms
Total energy ... -1.753 eV per atom
Crystal system ... tetragonal
V ... 55.8 Å³/atom
Density ... 4.053 Mg/m³

a b c (Å): 6.2038 6.2038 7.2494
angles (deg): 90.00 90.00 90.00
Fractional coordinates of all 5 atoms:
Ba  0.0000  0.0000  0.0000
Sr  0.0000  0.0000  0.5000
Mn  0.5000  0.5000  0.5000
Hg  0.0000  0.5000  0.0000
Hg  0.5000  0.0000  0.0000

---

(2)
Entry from the Alexandria database: an optimized crystal structure of BaHgMo (PBE).

Output
Formation energy from the elements ... 17.08 kcal/mol of atoms
Total energy ... -3.611 eV per atom
Crystal system ... tetragonal
V ... 28.8 Å³/atom
Density ... 8.331 Mg/m³
ΔE to the lowest computed polymorph ... 20.3 meV per atom

a b c (Å): 6.5477 6.5477 6.5477
angles (deg): 146.20 146.20 48.54
Fractional coordinates of all 3 atoms:
Ba  0.0000  0.0000  0.0000
Hg  0.2875  0.2875  0.0000
Mo  0.7103  0.7103  0.0000

---

(3)
Entry from the Alexandria database: an optimized crystal structure of BaHgMo3 (PBE).

Output
Formation energy from the elements ... 48.56 kcal/mol of atoms
Total energy ... -4.838 eV per atom
Crystal system ... cubic
V ... 29.0 Å³/atom
Density ... 7.157 Mg/m³

a b c (Å): 5.2558 5.2558 5.2558
angles (deg): 90.00 90.00 90.00
Fractional coordinates of all 5 atoms:
Ba  0.0000  0.0000  0.0000
Hg  0.5000  0.5000  0.5000
Mo  0.0000  0.5000  0.5000
Mo  0.5000  0.0000  0.5000
Mo  0.5000  0.5000  0.0000

---

- Which formula does entry 1 have?
  BaSrMnHg2

---

Repeat the third record exactly.
Entry from the Alexandria database: an optimized crystal structure of BaHgMo3 (PBE).

Output
Formation energy from the elements ... 48.56 kcal/mol of atoms
Total energy ... -4.838 eV per atom
Crystal system ... cubic
V ... 29.0 Å³/atom
Density ... 7.157 Mg/m³

a b c (Å): 5.2558 5.2558 5.2558
angles (deg): 90.00 90.00 90.00
Fractional coordinates of all 5 atoms:
Ba  0.0000  0.0000  0.0000
Hg  0.5000  0.5000  0.5000
Mo  0.0000  0.5000  0.5000
Mo  0.5000  0.0000  0.5000
Mo  0.5000  0.5000  0.0000

---

Please write out number 2 again, unchanged.
Entry from the Alexandria database: an optimized crystal structure of BaHgMo (PBE).

Output
Formation energy from the elements ... 17.08 kcal/mol of atoms
Total energy ... -3.611 eV per atom
Crystal system ... tetragonal
V ... 28.8 Å³/atom
Density ... 8.331 Mg/m³
ΔE to the lowest computed polymorph ... 20.3 meV per atom

a b c (Å): 6.5477 6.5477 6.5477
angles (deg): 146.20 146.20 48.54
Fractional coordinates of all 3 atoms:
Ba  0.0000  0.0000  0.0000
Hg  0.2875  0.2875  0.0000
Mo  0.7103  0.7103  0.0000